# BaTmW2O8

A geometry-optimized BaTmW2O8 structure (PBE with a Hubbard U, Alexandria via LeMat-Bulk).

Results
Spin magnetization = 0.083 μB/atom
E_tot = -89.38 eV/cell

Structure (CIF):
```
data_BaTmW2O8
_chemical_formula_sum 'Ba1 Tm1 W2 O8'
_space_group_name_H-M_alt 'P -3 m 1'
_space_group_IT_number 164
_space_group_name_Hall '-P 3 2"'
_cell_length_a 5.9998
_cell_length_b 5.9998
_cell_length_c 7.4673
_cell_angle_alpha 90.00
_cell_angle_beta 90.00
_cell_angle_gamma 120.00
loop_
_atom_site_label
_atom_site_type_symbol
_atom_site_fract_x
_atom_site_fract_y
_atom_site_fract_z
Ba1 Ba 0.0000 0.0000 0.0000
Tm1 Tm 0.0000 0.0000 0.5000
W1 W 0.3333 0.6667 0.7662
O1 O 0.1631 0.3262 0.6908
O2 O 0.3333 0.6667 0.0088
```